*1*
A relaxed Pm2PuPb crystal, computed with PBE.

The structure in POSCAR format:
```
Pm2PuPb
1.0
0.000 3.913 3.913
3.913 0.000 3.913
3.913 3.913 0.000
Pm Pu Pb
2 1 1
Direct
0.250 0.250 0.250
0.750 0.750 0.750
0.000 0.000 0.000
0.500 0.500 0.500
```

Values from the calculation:
Space-group type: Fm-3m
Magnetic moment in μB per cell: 6.99
DOS at the Fermi energy in states/eV/f.u.: 17.49



*2*
A relaxed Pm2PuPb crystal, computed with PBE.

The structure in POSCAR format:
```
Pm2PuPb
1.0
5.022 0.000 0.000
0.000 5.022 0.000
0.000 0.000 4.681
Pm Pu Pb
2 1 1
Direct
0.000 0.500 0.000
0.500 0.000 0.000
0.000 0.000 0.500
0.500 0.500 0.500
```

Values from the calculation:
Space-group type: P4/mmm
Magnetic moment in μB per cell: 6.66
DOS at the Fermi energy in states/eV/f.u.: 12.00



*3*
A relaxed Pm2PuPb crystal, computed with PBE.

The structure in POSCAR format:
```
Pm2PuPb
1.0
4.118 0.000 0.000
0.000 4.118 0.000
0.000 0.000 7.106
Pm Pu Pb
2 1 1
Direct
0.000 0.000 0.234
0.000 0.000 0.766
0.500 0.500 0.500
0.500 0.500 0.000
```

Values from the calculation:
Space-group type: P4/mmm
Magnetic moment in μB per cell: 6.61
DOS at the Fermi energy in states/eV/f.u.: 10.02



The structure with the greatest stability is *2*.



*1*
A relaxed Pm2Pu2Pb3 crystal, computed with PBE.

The structure in POSCAR format:
```
Pm2Pu2Pb3
1.0
2.347 -12.144 0.000
2.347 12.144 0.000
0.000 0.000 3.524
Pm Pu Pb
2 2 3
Direct
0.076 0.924 0.000
0.924 0.076 0.000
0.214 0.786 0.000
0.786 0.214 0.000
0.347 0.653 0.500
0.500 0.500 0.500
0.653 0.347 0.500
```

Values from the calculation:
Space-group type: Cmmm
Magnetic moment in μB per cell: 11.87
DOS at the Fermi energy in states/eV/f.u.: 14.21



*2*
A relaxed Pm2Pu2Pb3 crystal, computed with PBE.

The structure in POSCAR format:
```
Pm2Pu2Pb3
1.0
5.734 -2.311 0.000
5.734 2.311 0.000
-2.445 0.000 8.217
Pm Pu Pb
2 2 3
Direct
0.117 0.117 0.302
0.883 0.883 0.698
0.376 0.376 0.058
0.624 0.624 0.942
0.184 0.184 0.704
0.500 0.500 0.500
0.816 0.816 0.296
```

Values from the calculation:
Space-group type: C2/m
Magnetic moment in μB per cell: 13.59
DOS at the Fermi energy in states/eV/f.u.: 19.40



The structure with the greatest stability is *1*.



*1*
A relaxed PmPuRhPb crystal, computed with PBE.

The structure in POSCAR format:
```
PmPuRhPb
1.0
3.504 0.000 0.000
0.000 3.504 0.000
0.000 0.000 8.213
Pm Pu Rh Pb
1 1 1 1
Direct
0.000 0.000 0.000
0.000 0.000 0.586
0.500 0.500 0.786
0.500 0.500 0.296
```

Values from the calculation:
Space-group type: P4mm
Magnetic moment in μB per cell: 5.23
DOS at the Fermi energy in states/eV/f.u.: 12.82



*2*
A relaxed PmPuRhPb crystal, computed with PBE.

The structure in POSCAR format:
```
PmPuRhPb
1.0
0.000 3.700 3.700
3.700 0.000 3.700
3.700 3.700 0.000
Pm Pu Rh Pb
1 1 1 1
Direct
0.000 0.000 0.000
0.500 0.500 0.500
0.750 0.750 0.750
0.250 0.250 0.250
```

Values from the calculation:
Space-group type: F-43m
Magnetic moment in μB per cell: 5.11
DOS at the Fermi energy in states/eV/f.u.: 10.27



The structure with the greatest stability is *1*.



*1*
A relaxed Pm2Rh2Pb3 crystal, computed with PBE.

The structure in POSCAR format:
```
Pm2Rh2Pb3
1.0
2.213 -10.635 0.000
2.213 10.635 0.000
0.000 0.000 3.847
Pm Rh Pb
2 2 3
Direct
0.178 0.822 0.000
0.822 0.178 0.000
0.289 0.711 0.500
0.711 0.289 0.500
0.000 0.000 0.000
0.420 0.580 0.500
0.580 0.420 0.500
```

Values from the calculation:
Space-group type: Cmmm
Magnetic moment in μB per cell: 0.00
DOS at the Fermi energy in states/eV/f.u.: 4.18



*2*
A relaxed Pm2Rh2Pb3 crystal, computed with PBE.

The structure in POSCAR format:
```
Pm2Rh2Pb3
1.0
5.361 -2.226 0.000
5.361 2.226 0.000
-3.103 0.000 7.167
Pm Rh Pb
2 2 3
Direct
0.150 0.150 0.302
0.850 0.850 0.698
0.149 0.149 0.702
0.851 0.851 0.298
0.373 0.373 0.052
0.500 0.500 0.500
0.627 0.627 0.948
```

Values from the calculation:
Space-group type: C2/m
Magnetic moment in μB per cell: 0.00
DOS at the Fermi energy in states/eV/f.u.: 4.90



The structure with the greatest stability is *1*.